1.
DFT (PBE) results for crystalline KTi3Zn at its relaxed geometry.

a = 4.520 Å, b = 4.520 Å, c = 4.520 Å
α = 90.00°, β = 90.00°, γ = 90.00°
Last column: magnetic moment on the atom in μB.
Atoms (fractional coordinates):
Ti (0.000, 0.500, 0.000)  0.64
K (0.000, 0.000, 0.000)  0.20
Zn (0.500, 0.500, 0.500)  -0.01
Ti (0.000, 0.000, 0.500)  0.71
Ti (0.500, 0.000, 0.000)  0.65

Properties
The value obtained for the final energy is -16.481 eV for the cell shown. The calculation puts the density of states at the Fermi level at 3.9 states/eV/cell. For the relative energy among the computed polymorphs, the calculation gives 852.5 meV/atom. The symmetry is Pm-3m, No. 221.


2.
DFT (PBE) results for crystalline CaMgTaN3 at its relaxed geometry.

a = 3.155 Å, b = 7.853 Å, c = 5.879 Å
α = 88.44°, β = 90.00°, γ = 90.00°
Atoms (fractional coordinates):
Ta (0.250, 0.684, 0.098)
Mg (0.750, 0.996, 0.232)
N (0.750, 0.824, 0.926)
Mg (0.250, 0.004, 0.768)
N (0.750, 0.520, 0.213)
N (0.250, 0.480, 0.787)
N (0.250, 0.176, 0.074)
Ca (0.750, 0.673, 0.586)
Ta (0.750, 0.316, 0.902)
N (0.750, 0.170, 0.637)
N (0.250, 0.830, 0.363)
Ca (0.250, 0.327, 0.414)

Properties
The value obtained for the final energy is -94.353 eV for the cell shown. The symmetry is P2_1/m, No. 11.


3.
DFT (PBE) results for crystalline Tm2Al9Rh3 at its relaxed geometry.

a = 7.554 Å, b = 7.554 Å, c = 10.397 Å
α = 89.85°, β = 111.22°, γ = 120.36°
Atoms (fractional coordinates):
Rh (0.500, 0.500, 0.500)
Al (0.783, 0.476, 0.425)
Al (0.881, 0.859, 0.572)
Al (0.217, 0.524, 0.575)
Rh (0.173, 0.344, 0.001)
Tm (0.003, 0.413, 0.250)
Tm (0.997, 0.587, 0.750)
Rh (0.844, 0.172, 0.499)
Al (0.672, 0.711, 0.752)
Al (0.461, 0.814, 0.445)
Al (0.539, 0.186, 0.555)
Rh (0.500, 0.000, 0.000)
Al (0.328, 0.289, 0.248)
Tm (0.663, 0.752, 0.250)
Al (0.459, 0.920, 0.748)
Al (0.786, 0.309, 0.928)
Al (0.132, 0.984, 0.945)
Al (0.541, 0.080, 0.252)
Al (0.551, 0.359, 0.075)
Rh (0.827, 0.656, 0.999)
Al (0.882, 0.132, 0.750)
Rh (0.156, 0.828, 0.501)
Al (0.868, 0.016, 0.055)
Al (0.214, 0.691, 0.072)
Al (0.119, 0.141, 0.428)
Al (0.118, 0.868, 0.250)
Al (0.449, 0.641, 0.925)
Tm (0.337, 0.248, 0.750)

Properties
The value obtained for the final energy is -152.430 eV for the cell shown. The calculation puts the density of states at the Fermi level at 11.8 states/eV/cell. The symmetry is C2/c, No. 15.


4.
DFT (PBE) results for crystalline Sm2Zn at its relaxed geometry.

a = 3.643 Å, b = 3.643 Å, c = 12.386 Å
α = 90.00°, β = 90.00°, γ = 90.00°
Atoms (fractional coordinates):
Sm (0.000, 0.000, 0.500)
Zn (0.000, 0.000, 0.855)
Sm (0.500, 0.500, 0.291)
Sm (0.500, 0.500, 0.709)
Sm (0.500, 0.500, 0.000)
Zn (0.000, 0.000, 0.145)

Properties
The value obtained for the final energy is -22.703 eV for the cell shown. The calculation puts the density of states at the Fermi level at 5.7 states/eV/cell. The symmetry is P4/mmm, No. 123.


5.
DFT (PBE) results for crystalline Nd2ScSe3 at its relaxed geometry.

a = 7.158 Å, b = 7.158 Å, c = 12.893 Å
α = 100.84°, β = 100.84°, γ = 108.83°
Atoms (fractional coordinates):
Se (0.227, 0.227, 0.000)
Se (0.934, 0.913, 0.324)
Nd (0.253, 0.253, 0.506)
Sc (0.169, 0.669, 0.338)
Se (0.087, 0.066, 0.676)
Se (0.477, 0.977, 0.500)
Se (0.023, 0.523, 0.500)
Nd (0.421, 0.421, 0.842)
Sc (0.331, 0.831, 0.662)
Nd (0.829, 0.329, 0.658)
Sc (0.081, 0.081, 0.162)
Nd (0.579, 0.579, 0.158)
Se (0.661, 0.140, 0.824)
Se (0.773, 0.773, 0.000)
Se (0.163, 0.684, 0.824)
Sc (0.919, 0.919, 0.838)
Se (0.390, 0.411, 0.324)
Se (0.589, 0.610, 0.676)
Nd (0.671, 0.171, 0.342)
Se (0.860, 0.339, 0.176)
Se (0.316, 0.837, 0.176)
Nd (0.747, 0.747, 0.494)
Nd (0.997, 0.497, 0.994)
Nd (0.503, 0.003, 0.006)

Properties
The value obtained for the final energy is -146.964 eV for the cell shown. The calculation puts the density of states at the Fermi level at 12.7 states/eV/cell. For the relative energy among the computed polymorphs, the calculation gives 0.0 meV/atom. The symmetry is Fddd, No. 70.


6.
DFT (PBE) results for crystalline Pr8HIr3Br3 at its relaxed geometry.

a = 8.328 Å, b = 8.328 Å, c = 8.978 Å
α = 117.61°, β = 90.00°, γ = 120.00°
Atoms (fractional coordinates):
Br (0.500, 0.500, 0.000)
Pr (0.734, 0.468, 0.702)
Pr (0.236, 0.472, 0.702)
Br (0.000, 0.500, 0.000)
Pr (0.764, 0.528, 0.298)
Ir (0.500, 0.500, 0.500)
Br (0.000, 0.000, 0.000)
Ir (0.500, 0.000, 0.500)
Pr (0.729, 0.966, 0.702)
Pr (0.236, 0.966, 0.702)
Ir (0.000, 0.500, 0.500)
Pr (0.266, 0.532, 0.298)
Pr (0.764, 0.034, 0.298)
Pr (0.271, 0.034, 0.298)
H (0.000, 0.000, 0.500)

Properties
The value obtained for the final energy is -85.758 eV for the cell shown. The calculation puts the density of states at the Fermi level at 6.4 states/eV/cell. The symmetry is R-3m, No. 166.


7.
DFT (PBE) results for crystalline AcTbZnGa at its relaxed geometry.

a = 5.330 Å, b = 5.330 Å, c = 5.330 Å
α = 60.00°, β = 60.00°, γ = 60.00°
Atoms (fractional coordinates):
Zn (0.750, 0.750, 0.750)
Tb (0.000, 0.000, 0.000)
Ga (0.250, 0.250, 0.250)
Ac (0.500, 0.500, 0.500)

Properties
The value obtained for the final energy is -14.502 eV for the cell shown. The calculation puts the density of states at the Fermi level at 4.5 states/eV/cell. The symmetry is F-43m, No. 216.


8.
DFT (PBE) results for crystalline NbV3Ru at its relaxed geometry.

a = 4.504 Å, b = 4.504 Å, c = 4.504 Å
α = 90.00°, β = 90.00°, γ = 90.00°
Last column: magnetic moment on the atom in μB.
Atoms (fractional coordinates):
V (0.000, 0.000, 0.500)  0.87
V (0.500, 0.000, 0.000)  0.87
Ru (0.000, 0.000, 0.000)  -0.07
Nb (0.500, 0.500, 0.500)  -0.12
V (0.000, 0.500, 0.000)  0.87

Properties
The value obtained for the final energy is -41.595 eV for the cell shown. The calculation puts the density of states at the Fermi level at 6.3 states/eV/cell. For the relative energy among the computed polymorphs, the calculation gives 1107.5 meV/atom. The symmetry is Pm-3m, No. 221.


9.
DFT (PBE) results for crystalline CsPtI at its relaxed geometry.

a = 11.224 Å, b = 4.657 Å, c = 8.156 Å
α = 90.00°, β = 90.00°, γ = 90.00°
Atoms (fractional coordinates):
I (0.250, 0.750, 0.583)
I (0.250, 0.250, 0.083)
Pt (0.250, 0.250, 0.412)
Pt (0.750, 0.250, 0.088)
I (0.750, 0.250, 0.417)
I (0.750, 0.750, 0.917)
Cs (0.500, 0.750, 0.251)
Cs (0.000, 0.250, 0.751)
Pt (0.250, 0.750, 0.912)
Cs (0.000, 0.750, 0.249)
Pt (0.750, 0.750, 0.588)
Cs (0.500, 0.250, 0.749)

Properties
The value obtained for the final energy is -38.680 eV for the cell shown. The calculation puts the density of states at the Fermi level at 0.1 states/eV/cell. For the relative energy among the computed polymorphs, the calculation gives 175.3 meV/atom. The symmetry is Pnma, No. 62.


10.
DFT (PBE) results for crystalline CuSe2F at its relaxed geometry.

a = 7.089 Å, b = 7.089 Å, c = 7.089 Å
α = 30.64°, β = 30.64°, γ = 30.64°
Atoms (fractional coordinates):
Cu (0.500, 0.500, 0.500)
Se (0.893, 0.893, 0.893)
Se (0.107, 0.107, 0.107)
F (0.000, 0.000, 0.000)

Properties
The value obtained for the final energy is -14.294 eV for the cell shown. The calculation puts the density of states at the Fermi level at 1.2 states/eV/cell. The symmetry is R-3m, No. 166.


11.
DFT (PBE) results for crystalline Li2BePb at its relaxed geometry.

a = 3.402 Å, b = 3.402 Å, c = 6.115 Å
α = 90.00°, β = 90.00°, γ = 92.13°
Atoms (fractional coordinates):
Li (0.000, 0.000, 0.981)
Li (0.500, 0.500, 0.228)
Be (0.500, 0.500, 0.777)
Pb (0.000, 0.000, 0.514)

Properties
The value obtained for the final energy is -10.633 eV for the cell shown. The calculation puts the density of states at the Fermi level at 1.0 states/eV/cell. For the relative energy among the computed polymorphs, the calculation gives 173.5 meV/atom. The symmetry is Cmm2, No. 35.


12.
DFT (PBE) results for crystalline Pr4SmHo3Te8 at its relaxed geometry.

a = 8.789 Å, b = 9.010 Å, c = 8.789 Å
α = 119.19°, β = 120.00°, γ = 90.00°
Atoms (fractional coordinates):
Sm (0.000, 0.500, 0.000)
Ho (0.500, 0.500, 0.500)
Pr (0.000, 0.000, 0.500)
Te (0.256, 0.267, 0.511)
Te (0.752, 0.264, 0.505)
Pr (0.500, 0.000, 0.000)
Te (0.744, 0.733, 0.489)
Ho (0.500, 0.500, 0.000)
Te (0.752, 0.264, 0.011)
Pr (0.000, 0.000, 0.000)
Pr (0.500, 0.000, 0.500)
Te (0.259, 0.264, 0.011)
Te (0.741, 0.736, 0.989)
Te (0.248, 0.736, 0.495)
Ho (0.000, 0.500, 0.500)
Te (0.248, 0.736, 0.989)

Properties
The value obtained for the final energy is -84.484 eV for the cell shown. The calculation puts the density of states at the Fermi level at 10.8 states/eV/cell. The symmetry is R-3m, No. 166.